Entry w
Below is a geometry-optimized BeCr2Rh structure, with properties calculated at the PBE level.

Unit cell a=2.9320 b=4.2303 c=7.5297 alpha=90.00 beta=90.00 gamma=90.00
Space group Cmm2 (No. 35)
One atom of each set of equivalent atoms:
1 Be 0.0000 0.0000 0.0000 x2
2 Cr 0.0000 0.0000 0.4862 x2
3 Cr 0.0000 0.5000 0.2422 x2
4 Rh 0.0000 0.5000 0.7684 x2

density of states at the Fermi level	5.54	states/eV/cell
volume	11.7	Å³/atom
calculated density	7.68	g cm⁻³


Entry x
Below is a geometry-optimized BeCr2Rh structure, with properties calculated at the PBE level.

Unit cell a=2.6271 b=2.6271 c=6.6389 alpha=90.00 beta=90.00 gamma=90.00
Space group P4mm (No. 99)
One atom of each set of equivalent atoms:
1 Be 0.0000 0.0000 0.0000 x1
2 Cr 0.0000 0.0000 0.5143 x1
3 Cr 0.5000 0.5000 0.2315 x1
4 Rh 0.5000 0.5000 0.7808 x1

density of states at the Fermi level	3.45	states/eV/cell
volume	11.5	Å³/atom
calculated density	7.82	g cm⁻³


Going by the energies, entry x is most stable and the next is 5.7 kJ/mol of atoms up.


Entry w
Below is a geometry-optimized Be3CrRu structure, with properties calculated at the PBE level.

Unit cell a=4.0148 b=4.0148 c=4.0148 alpha=90.00 beta=90.00 gamma=90.00
Space group Pm-3m (No. 221)
One atom of each set of equivalent atoms:
1 Be 0.0000 0.0000 0.5000 x3
2 Cr 0.5000 0.5000 0.5000 x1
3 Ru 0.0000 0.0000 0.0000 x1

density of states at the Fermi level	11.48	states/eV/cell
volume	12.9	Å³/atom
calculated density	4.62	g cm⁻³


Entry x
Below is a geometry-optimized Be3CrRu structure, with properties calculated at the PBE level.

Unit cell a=3.8861 b=3.8861 c=3.8861 alpha=90.00 beta=90.00 gamma=90.00
Space group Pm-3m (No. 221)
One atom of each set of equivalent atoms:
1 Be 0.0000 0.0000 0.5000 x3
2 Cr 0.0000 0.0000 0.0000 x1
3 Ru 0.5000 0.5000 0.5000 x1

density of states at the Fermi level	10.50	states/eV/cell
volume	11.7	Å³/atom
calculated density	5.10	g cm⁻³


Going by the energies, entry w is most stable and the next is 28.4 kJ/mol of atoms up.


Entry w
Below is a geometry-optimized BeCr2S structure, with properties calculated at the PBE level.

Unit cell a=3.3498 b=3.3498 c=16.4714 alpha=90.00 beta=90.00 gamma=90.00
Space group I-42d (No. 122)
One atom of each set of equivalent atoms:
1 Be 0.0000 0.0000 0.0000 x4
2 Cr 0.2477 0.2500 0.6250 x8
3 S 0.0000 0.0000 0.5000 x4

density of states at the Fermi level	10.02	states/eV/cell
volume	11.6	Å³/atom
calculated density	5.21	g cm⁻³


Entry x
Below is a geometry-optimized BeCr2S structure, with properties calculated at the PBE level.

Unit cell a=5.5115 b=5.5115 c=5.5115 alpha=90.00 beta=90.00 gamma=90.00
Space group Fm-3m (No. 225)
One atom of each set of equivalent atoms:
1 Be 0.0000 0.0000 0.0000 x4
2 Cr 0.2500 0.2500 0.2500 x8
3 S 0.0000 0.0000 0.5000 x4

density of states at the Fermi level	15.16	states/eV/cell
volume	10.5	Å³/atom
calculated density	5.76	g cm⁻³


Going by the energies, entry x is most stable and the next is 7.1 kJ/mol of atoms up.


Entry w
Below is a geometry-optimized BeCr2Sb structure, with properties calculated at the PBE level.

Unit cell a=8.3193 b=3.0737 c=4.4434 alpha=90.00 beta=101.26 gamma=90.00
Space group C2/m (No. 12)
One atom of each set of equivalent atoms:
1 Be 0.0000 0.0000 0.0000 x2
2 Cr 0.2431 0.5000 0.1838 x4
3 Sb 0.0000 0.5000 0.5000 x2

density of states at the Fermi level	5.37	states/eV/cell
volume	13.9	Å³/atom
calculated density	7.00	g cm⁻³


Entry x
Below is a geometry-optimized BeCr2Sb structure, with properties calculated at the PBE level.

Unit cell a=3.1815 b=4.2012 c=7.8572 alpha=90.00 beta=90.00 gamma=90.00
Space group Immm (No. 71)
One atom of each set of equivalent atoms:
1 Be 0.0000 0.0000 0.0000 x2
2 Cr 0.0000 0.5000 0.2670 x4
3 Sb 0.0000 0.0000 0.5000 x2

density of states at the Fermi level	8.08	states/eV/cell
volume	13.1	Å³/atom
calculated density	7.42	g cm⁻³


Going by the energies, entry w is most stable and the next is 2.9 kJ/mol of atoms up.


Entry w
Below is a geometry-optimized BeCr2Sb structure, with properties calculated at the PBE level.

Unit cell a=5.1411 b=7.9626 c=2.8473 alpha=90.00 beta=107.80 gamma=90.00
Space group C2/m (No. 12)
One atom of each set of equivalent atoms:
1 Be 0.0000 0.0000 0.0000 x2
2 Cr 0.2500 0.2500 0.5000 x4
3 Sb 0.0000 0.5000 0.0000 x2

density of states at the Fermi level	7.11	states/eV/cell
volume	13.9	Å³/atom
calculated density	7.03	g cm⁻³


Entry x
Below is a geometry-optimized BeCr2Sb structure, with properties calculated at the PBE level.

Unit cell a=3.6308 b=3.6308 c=17.7047 alpha=90.00 beta=90.00 gamma=90.00
Space group I-42d (No. 122)
One atom of each set of equivalent atoms:
1 Be 0.0000 0.0000 0.0000 x4
2 Cr 0.1790 0.2500 0.1250 x8
3 Sb 0.0000 0.0000 0.5000 x4

density of states at the Fermi level	11.85	states/eV/cell
volume	14.6	Å³/atom
calculated density	6.68	g cm⁻³


Entry y
Below is a geometry-optimized BeCr2Sb structure, with properties calculated at the PBE level.

Unit cell a=3.0682 b=3.0682 c=5.6343 alpha=90.00 beta=90.00 gamma=90.00
Space group P4mm (No. 99)
One atom of each set of equivalent atoms:
1 Be 0.0000 0.0000 0.0000 x1
2 Cr 0.0000 0.0000 0.4117 x1
3 Cr 0.5000 0.5000 0.1778 x1
4 Sb 0.5000 0.5000 0.6983 x1

density of states at the Fermi level	2.94	states/eV/cell
volume	13.3	Å³/atom
calculated density	7.35	g cm⁻³


Entry z
Below is a geometry-optimized BeCr2Sb structure, with properties calculated at the PBE level.

Unit cell a=3.1699 b=3.1699 c=5.6089 alpha=90.00 beta=90.00 gamma=90.00
Space group P4/mmm (No. 123)
One atom of each set of equivalent atoms:
1 Be 0.0000 0.0000 0.0000 x1
2 Cr 0.5000 0.5000 0.2321 x2
3 Sb 0.0000 0.0000 0.5000 x1

density of states at the Fermi level	3.66	states/eV/cell
volume	14.1	Å³/atom
calculated density	6.92	g cm⁻³


Going by the energies, entry y is most stable and the next is 20.8 kJ/mol of atoms up.


Entry w
Below is a geometry-optimized BeCr2Sb structure, with properties calculated at the PBE level.

Unit cell a=6.0576 b=6.0576 c=6.0576 alpha=90.00 beta=90.00 gamma=90.00
Space group Fm-3m (No. 225)
One atom of each set of equivalent atoms:
1 Be 0.0000 0.0000 0.0000 x4
2 Cr 0.2500 0.2500 0.2500 x8
3 Sb 0.0000 0.0000 0.5000 x4

density of states at the Fermi level	10.80	states/eV/cell
volume	13.9	Å³/atom
calculated density	7.02	g cm⁻³


Entry x
Below is a geometry-optimized BeCr2Sb structure, with properties calculated at the PBE level.

Unit cell a=3.8664 b=3.8664 c=7.4680 alpha=90.00 beta=90.00 gamma=90.00
Space group I4/mmm (No. 139)
One atom of each set of equivalent atoms:
1 Be 0.0000 0.0000 0.0000 x2
2 Cr 0.0000 0.5000 0.2500 x4
3 Sb 0.0000 0.0000 0.5000 x2

density of states at the Fermi level	8.55	states/eV/cell
volume	14.0	Å³/atom
calculated density	6.98	g cm⁻³


Entry y
Below is a geometry-optimized BeCr2Sb structure, with properties calculated at the PBE level.

Unit cell a=5.9263 b=5.9263 c=5.9263 alpha=90.00 beta=90.00 gamma=90.00
Space group F-43m (No. 216)
One atom of each set of equivalent atoms:
1 Be 0.0000 0.0000 0.0000 x4
2 Cr 0.0000 0.0000 0.5000 x4
3 Cr 0.2500 0.2500 0.2500 x4
4 Sb 0.2500 0.2500 0.7500 x4

density of states at the Fermi level	12.99	states/eV/cell
volume	13.0	Å³/atom
calculated density	7.49	g cm⁻³


Entry z
Below is a geometry-optimized BeCr2Sb structure, with properties calculated at the PBE level.

Unit cell a=3.8147 b=3.8147 c=7.7021 alpha=90.00 beta=90.00 gamma=90.00
Space group I-4m2 (No. 119)
One atom of each set of equivalent atoms:
1 Be 0.0000 0.0000 0.0000 x2
2 Cr 0.0000 0.0000 0.5000 x2
3 Cr 0.0000 0.5000 0.7500 x2
4 Sb 0.0000 0.5000 0.2500 x2

density of states at the Fermi level	5.20	states/eV/cell
volume	14.0	Å³/atom
calculated density	6.96	g cm⁻³


Going by the energies, entry z is most stable and the next is 5.6 kJ/mol of atoms up.